# SrPaGaO6

A relaxed SrPaGaO6 crystal (PBE-GGA, Alexandria via LeMat-Bulk).

## Properties
Symmetry: P312 (149)
Volume in Å³ per atom: 14.59
Raw formation energy in eV/atom: -2.267

Cell lengths 4.796, 5.623, 5.623 Å; angles 120.00, 90.00, 90.00 degrees
Last column: magnetic moment on the atom in μB.
Fractional positions:
1 Ga 0.500 0.000 0.000  -0.02
2 O 0.738 0.266 0.946  0.29
3 O 0.262 0.054 0.734  0.29
4 O 0.738 0.054 0.320  0.29
5 O 0.262 0.680 0.946  0.29
6 O 0.738 0.680 0.734  0.29
7 O 0.262 0.266 0.320  0.29
8 Pa 0.000 0.333 0.667  -0.09
9 Sr 0.500 0.667 0.333  0.00

---

# Ac3Ga8Rh3

A relaxed Ac3Ga8Rh3 crystal (PBE-GGA, Alexandria via LeMat-Bulk).

## Properties
Symmetry: Immm (71)
Volume in Å³ per atom: 20.89
Energy of formation in kJ/mol of formula units: -871.6

Cell lengths 4.416, 8.510, 8.510 Å; angles 75.50, 74.96, 74.96 degrees
Fractional positions:
1 Ga 0.174 0.470 0.183
2 Ga 0.826 0.817 0.530
3 Ga 0.174 0.183 0.470
4 Ga 0.384 0.332 0.900
5 Ga 0.616 0.668 0.100
6 Ga 0.826 0.530 0.817
7 Ga 0.384 0.900 0.332
8 Ga 0.616 0.100 0.668
9 Ac 0.500 0.500 0.500
10 Ac 0.829 0.171 0.171
11 Ac 0.171 0.829 0.829
12 Rh 0.000 0.771 0.229
13 Rh 0.500 0.000 0.000
14 Rh 0.000 0.229 0.771

---

# Cd2TcBr

A relaxed Cd2TcBr crystal (PBE-GGA, Alexandria via LeMat-Bulk).

## Properties
Symmetry: Cmmm (65)
Volume in Å³ per atom: 19.94
Raw formation energy in eV/atom: 0.494

Cell lengths 5.257, 5.257, 3.116 Å; angles 90.00, 90.00, 112.10 degrees
Fractional positions:
1 Tc 0.500 0.000 0.500
2 Cd 0.000 0.000 0.000
3 Cd 0.500 0.500 0.000
4 Br 0.000 0.500 0.500

---

# MnTlTe2

A relaxed MnTlTe2 crystal (PBE-GGA, Alexandria via LeMat-Bulk).

## Properties
Symmetry: Cmcm (63)
Volume in Å³ per atom: 25.90
Raw formation energy in eV/atom: 0.132

Cell lengths 14.932, 14.932, 4.330 Å; angles 90.00, 90.00, 167.61 degrees
Fractional positions:
1 Mn 0.306 0.694 0.250
2 Mn 0.694 0.306 0.750
3 Tl 0.954 0.046 0.750
4 Tl 0.046 0.954 0.250
5 Te 0.876 0.124 0.250
6 Te 0.124 0.876 0.750
7 Te 0.784 0.216 0.750
8 Te 0.216 0.784 0.250

---

# Er2CoSn3

A relaxed Er2CoSn3 crystal (PBE-GGA, Alexandria via LeMat-Bulk).

## Properties
Symmetry: Cm (8)
Volume in Å³ per atom: 22.99
Energy of formation in kJ/mol of formula units: -270.4

Cell lengths 4.578, 5.863, 6.103 Å; angles 73.47, 67.97, 67.02 degrees
Fractional positions:
1 Sn 0.798 0.266 0.139
2 Sn 0.160 0.752 0.928
3 Sn 0.893 0.589 0.626
4 Er 0.419 0.843 0.319
5 Er 0.551 0.183 0.716
6 Co 0.180 0.366 0.273

---

# Li2BeSn

A relaxed Li2BeSn crystal (PBE-GGA, Alexandria via LeMat-Bulk).

## Properties
Symmetry: I-42d (122)
Volume in Å³ per atom: 17.63
Energy of formation in kJ/mol of formula units: 93.2

Cell lengths 7.458, 7.458, 5.852 Å; angles 50.41, 50.41, 90.00 degrees
Fractional positions:
1 Be 0.500 0.500 0.000
2 Be 0.250 0.750 0.500
3 Li 0.875 0.835 0.750
4 Li 0.585 0.125 0.250
5 Li 0.375 0.415 0.750
6 Li 0.165 0.625 0.250
7 Sn 0.750 0.250 0.500
8 Sn 0.000 0.000 0.000

---

# Tl3GaAs

A relaxed Tl3GaAs crystal (PBE-GGA, Alexandria via LeMat-Bulk).

## Properties
Symmetry: Pm-3m (221)
Volume in Å³ per atom: 31.39
Energy of formation in kJ/mol of formula units: 204.4

Cell lengths 5.394, 5.394, 5.394 Å; angles 90.00, 90.00, 90.00 degrees
Last column: magnetic moment on the atom in μB.
Fractional positions:
1 As 0.500 0.500 0.500  0.17
2 Tl 0.500 0.000 0.000  -0.01
3 Tl 0.000 0.000 0.500  0.00
4 Tl 0.000 0.500 0.000  -0.01
5 Ga 0.000 0.000 0.000  0.01

---

# TbCeEr2As4

A relaxed TbCeEr2As4 crystal (PBE-GGA, Alexandria via LeMat-Bulk).

## Properties
Symmetry: P2/m (10)
Volume in Å³ per atom: 24.87
Energy of formation in kJ/mol of formula units: -1159.1

Cell lengths 4.132, 7.143, 7.151 Å; angles 70.57, 90.00, 90.00 degrees
Last column: magnetic moment on the atom in μB.
Fractional positions:
1 Er 0.500 0.000 0.500  0.00
2 Er 0.000 0.000 0.000  0.00
3 Tb 0.000 0.500 0.500  0.01
4 As 0.000 0.245 0.253  -0.01
5 As 0.000 0.755 0.747  -0.01
6 As 0.500 0.754 0.249  -0.01
7 As 0.500 0.246 0.751  -0.01
8 Ce 0.500 0.500 0.000  0.52